{
  "formula": "LiPaMn2O6",
  "functional": "GGA+U",
  "state": "relaxed",
  "total_energy_ev_per_fu": -76.47,
  "density_g_cm3": 6.7,
  "lattice_angstrom": [[-3.1153, -4.0482, 1.4865], [2.1487, -4.6850, 1.1606], [0.0799, -1.7073, 5.1999]],
  "species": ["O", "O", "O", "O", "O", "O", "Mn", "Mn", "Pa", "Li"],
  "frac_coords": [[0.8734, 0.6459, 0.2408], [0.1544, 0.3716, 0.7300], [0.7485, 0.1502, 0.7346], [0.2360, 0.8791, 0.2371], [0.6473, 0.2414, 0.2334], [0.3690, 0.7438, 0.7328], [0.0124, 0.0115, 0.9636], [0.5159, 0.5104, 0.4578], [0.8000, 0.8066, 0.5919], [0.3047, 0.3011, 0.0932]]
}